A geometry-optimized TlAgCl3 structure. Source: Alexandria via LeMat-Bulk, functional PBE.

The space group is R3m (No. 160, hexagonal axes) and the conventional cell measures 7.9615, 7.9615 and 10.1355 Å, with angles of 90.00, 90.00 and 120.00 degrees. The distinct sites, in fractional coordinates, are Tl at (0.0000, 0.0000, 0.0000), Ag at (0.0000, 0.0000, 0.6749) and Cl at (0.0096, 0.5048, 0.4690).

The magnetization is 0.000 μB/atom. The raw formation energy is -2.513 eV/f.u. The calculation puts the density of states at the Fermi level at 4.222 states/eV/cell.

***

A geometry-optimized Tl2AgCl8 structure. Source: Alexandria via LeMat-Bulk, functional PBE.

The space group is C2/m (No. 12) and the conventional cell measures 12.3313, 9.4511 and 6.9580 Å, with angles of 90.00, 90.39 and 90.00 degrees. The distinct sites, in fractional coordinates, are Tl at (0.2345, 0.0000, 0.3309), Ag at (0.0000, 0.0000, 0.0000), Cl at (0.0840, 0.5000, 0.7845), Cl at (0.1113, 0.1841, 0.1628) and Cl at (0.1934, 0.0000, 0.6712).

The magnetization is 0.097 μB/atom. The raw formation energy is -5.926 eV/f.u. The calculation puts the energy above the most stable polymorph in this dataset at 9 meV per atom. The calculation puts the density of states at the Fermi level at 1.310 states/eV/cell.

***

A geometry-optimized TlAg2Cl structure. Source: Alexandria via LeMat-Bulk, functional PBE.

The space group is P2/m (No. 10) and the conventional cell measures 3.5714, 5.4708 and 4.8950 Å, with angles of 90.00, 90.36 and 90.00 degrees. The distinct sites, in fractional coordinates, are Tl at (0.0000, 0.0000, 0.0000), Ag at (0.2533, 0.5000, 0.2402) and Cl at (0.5000, 0.0000, 0.5000).

The magnetization is 0.000 μB/atom. The raw formation energy is -0.312 eV/f.u. The calculation puts the energy above the most stable polymorph in this dataset at 72 meV per atom. The calculation puts the density of states at the Fermi level at 0.675 states/eV/cell.

***

A geometry-optimized TlAg5Cl12 structure. Source: Alexandria via LeMat-Bulk, functional PBE.

The space group is P-1 (No. 2) and the conventional cell measures 6.6689, 6.6936 and 12.5168 Å, with angles of 87.68, 89.07 and 67.50 degrees. The distinct sites, in fractional coordinates, are Tl at (0.0000, 0.0000, 0.0000), Ag at (0.1671, 0.6660, 0.5001), Ag at (0.3319, 0.3336, 0.9997), Ag at (0.5000, 0.0000, 0.5000), Cl at (0.0411, 0.2849, 0.1220), Cl at (0.1139, 0.3778, 0.6146), Cl at (0.2197, 0.9547, 0.3855), Cl at (0.2949, 0.0510, 0.8782), Cl at (0.3325, 0.6588, 0.1042) and Cl at (0.4478, 0.7104, 0.6149).

The magnetization is 0.195 μB/atom. The raw formation energy is -7.398 eV/f.u. The calculation puts the density of states at the Fermi level at 12.958 states/eV/cell.

***

A geometry-optimized TlAg3Cl4 structure. Source: Alexandria via LeMat-Bulk, functional PBE.

The space group is Cmmm (No. 65) and the conventional cell measures 7.5087, 14.9896 and 4.0942 Å, with angles of 90.00, 90.00 and 90.00 degrees. The distinct sites, in fractional coordinates, are Tl at (0.0000, 0.0000, 0.0000), Ag at (0.0000, 0.2497, 0.5000), Ag at (0.0000, 0.5000, 0.5000) and Cl at (0.2483, 0.3745, 0.5000).

The magnetization is 0.000 μB/atom. The raw formation energy is -4.165 eV/f.u. The calculation puts the energy above the most stable polymorph in this dataset at 12 meV per atom.

***

A geometry-optimized TlAgCl2 structure. Source: Alexandria via LeMat-Bulk, functional PBE.

The space group is I-42d (No. 122) and the conventional cell measures 6.8686, 6.8686 and 11.7920 Å, with angles of 90.00, 90.00 and 90.00 degrees. The distinct sites, in fractional coordinates, are Tl at (0.0000, 0.0000, 0.0000), Ag at (0.0000, 0.0000, 0.5000) and Cl at (0.1903, 0.2500, 0.6250).

The magnetization is 0.000 μB/atom. The raw formation energy is -2.811 eV/f.u. The calculation puts the density of states at the Fermi level at 0.000 states/eV/cell.

***

A geometry-optimized TlAg2Cl structure. Source: Alexandria via LeMat-Bulk, functional PBE.

The space group is Cmmm (No. 65) and the conventional cell measures 6.0302, 8.3483 and 3.5693 Å, with angles of 90.00, 90.00 and 90.00 degrees. The distinct sites, in fractional coordinates, are Tl at (0.0000, 0.0000, 0.0000), Ag at (0.2500, 0.2500, 0.5000) and Cl at (0.0000, 0.5000, 0.0000).

The magnetization is 0.000 μB/atom. The raw formation energy is 0.066 eV/f.u. The calculation puts the energy above the most stable polymorph in this dataset at 166 meV per atom. The calculation puts the density of states at the Fermi level at 2.463 states/eV/cell.

***

A geometry-optimized Tl3AgCl structure. Source: Alexandria via LeMat-Bulk, functional PBE.

The space group is Pm-3m (No. 221) and the conventional cell measures 5.5680, 5.5680 and 5.5680 Å, with angles of 90.00, 90.00 and 90.00 degrees. The distinct sites, in fractional coordinates, are Tl at (0.0000, 0.0000, 0.5000), Ag at (0.0000, 0.0000, 0.0000) and Cl at (0.5000, 0.5000, 0.5000).

The magnetization is 0.000 μB/atom. The raw formation energy is -0.646 eV/f.u. The calculation puts the energy above the most stable polymorph in this dataset at 0 meV per atom. The calculation puts the density of states at the Fermi level at 1.643 states/eV/cell.

***

A geometry-optimized TlAg3Cl6 structure. Source: Alexandria via LeMat-Bulk, functional PBE.

The space group is P2_1/c (No. 14) and the conventional cell measures 6.9981, 6.7964 and 12.5016 Å, with angles of 90.00, 122.64 and 90.00 degrees. The distinct sites, in fractional coordinates, are Tl at (0.0000, 0.0000, 0.0000), Ag at (0.2801, 0.0211, 0.7586), Ag at (0.5000, 0.0000, 0.5000), Cl at (0.0757, 0.1762, 0.4172), Cl at (0.2738, 0.6764, 0.4397) and Cl at (0.3519, 0.1057, 0.2368).

The magnetization is 0.000 μB/atom. The raw formation energy is -5.223 eV/f.u.

***

A geometry-optimized TlAg2Cl5 structure. Source: Alexandria via LeMat-Bulk, functional PBE.

The space group is P1 (No. 1) and the conventional cell measures 6.6501, 7.1942 and 7.1983 Å, with angles of 76.29, 64.91 and 65.23 degrees. The distinct sites, in fractional coordinates, are Tl at (0.0000, 0.0000, 0.0000), Ag at (0.2329, 0.4183, 0.9739), Ag at (0.2329, 0.9757, 0.4173), Cl at (0.0908, 0.7408, 0.7396), Cl at (0.2261, 0.6979, 0.1870), Cl at (0.2292, 0.1873, 0.6978), Cl at (0.5532, 0.0967, 0.0945) and Cl at (0.9191, 0.2552, 0.2562).

The magnetization is 0.000 μB/atom. The raw formation energy is -4.311 eV/f.u.

***

A geometry-optimized TlAg2Cl6 structure. Source: Alexandria via LeMat-Bulk, functional PBE.

The space group is P-1 (No. 2) and the conventional cell measures 3.9271, 6.8793 and 10.4172 Å, with angles of 84.75, 89.86 and 73.42 degrees. The distinct sites, in fractional coordinates, are Tl at (0.0000, 0.0000, 0.0000), Ag at (0.2684, 0.4645, 0.3116), Cl at (0.0829, 0.8312, 0.2317), Cl at (0.1459, 0.7085, 0.5932) and Cl at (0.3727, 0.2546, 0.0651).

The magnetization is 0.000 μB/atom. The raw formation energy is -4.044 eV/f.u. The calculation puts the energy above the most stable polymorph in this dataset at 59 meV per atom. The calculation puts the density of states at the Fermi level at 4.226 states/eV/cell.

***

A geometry-optimized TlAg2Cl structure. Source: Alexandria via LeMat-Bulk, functional PBE.

The space group is Pm (No. 6) and the conventional cell measures 3.5634, 3.4948 and 7.9570 Å, with angles of 90.00, 102.82 and 90.00 degrees. The distinct sites, in fractional coordinates, are Tl at (0.0000, 0.0000, 0.0000), Ag at (0.3538, 0.5000, 0.7044), Ag at (0.7658, 0.0000, 0.5265) and Cl at (0.6273, 0.5000, 0.2540).

The magnetization is 0.000 μB/atom. The raw formation energy is -0.600 eV/f.u. The calculation puts the energy above the most stable polymorph in this dataset at 0 meV per atom. The calculation puts the density of states at the Fermi level at 1.054 states/eV/cell.

***

A geometry-optimized Tl3AgCl6 structure. Source: Alexandria via LeMat-Bulk, functional PBE.

The space group is P2_1/c (No. 14) and the conventional cell measures 7.2829, 7.5642 and 12.7292 Å, with angles of 90.00, 124.61 and 90.00 degrees. The distinct sites, in fractional coordinates, are Tl at (0.0000, 0.0000, 0.0000), Tl at (0.2676, 0.0654, 0.7503), Ag at (0.5000, 0.0000, 0.5000), Cl at (0.1706, 0.0127, 0.2489), Cl at (0.2354, 0.7080, 0.0379) and Cl at (0.3344, 0.1991, 0.0388).

The magnetization is 0.000 μB/atom. The raw formation energy is -7.910 eV/f.u. The calculation puts the energy above the most stable polymorph in this dataset at 0 meV per atom.

***

A geometry-optimized TlAgCl2 structure. Source: Alexandria via LeMat-Bulk, functional PBE.

The space group is F-43m (No. 216) and the conventional cell measures 7.2770, 7.2770 and 7.2770 Å, with angles of 90.00, 90.00 and 90.00 degrees. The distinct sites, in fractional coordinates, are Tl at (0.0000, 0.0000, 0.0000), Ag at (0.2500, 0.2500, 0.2500), Cl at (0.0000, 0.0000, 0.5000) and Cl at (0.2500, 0.2500, 0.7500).

The magnetization is 0.000 μB/atom. The raw formation energy is -1.140 eV/f.u.

***

A geometry-optimized TlAgCl2 structure. Source: Alexandria via LeMat-Bulk, functional PBE.

The space group is P-1 (No. 2) and the conventional cell measures 4.2413, 7.8068 and 8.2694 Å, with angles of 66.64, 75.15 and 89.98 degrees. The distinct sites, in fractional coordinates, are Tl at (0.1300, 0.0776, 0.2393), Ag at (0.3957, 0.4072, 0.7083), Cl at (0.2039, 0.7419, 0.0934) and Cl at (0.4856, 0.7647, 0.5293).

The magnetization is 0.000 μB/atom. The raw formation energy is -2.886 eV/f.u. The calculation puts the density of states at the Fermi level at 0.000 states/eV/cell.

***

A geometry-optimized TlAg2Cl structure. Source: Alexandria via LeMat-Bulk, functional PBE.

The space group is R-3m (No. 166, hexagonal axes) and the conventional cell measures 3.5849, 3.5849 and 24.4301 Å, with angles of 90.00, 90.00 and 120.00 degrees. The distinct sites, in fractional coordinates, are Tl at (0.0000, 0.0000, 0.0000), Ag at (0.0000, 0.0000, 0.2450) and Cl at (0.0000, 0.0000, 0.5000).

The magnetization is 0.000 μB/atom. The raw formation energy is -0.348 eV/f.u. The calculation puts the energy above the most stable polymorph in this dataset at 63 meV per atom. The calculation puts the density of states at the Fermi level at 3.335 states/eV/cell.

***

A geometry-optimized TlAgCl3 structure. Source: Alexandria via LeMat-Bulk, functional PBE.

The space group is P6_3/mmc (No. 194) and the conventional cell measures 4.7388, 4.7388 and 15.5477 Å, with angles of 90.00, 90.00 and 120.00 degrees. The distinct sites, in fractional coordinates, are Tl at (0.3333, 0.6667, 0.2500), Ag at (0.0000, 0.0000, 0.0000), Cl at (0.0000, 0.0000, 0.2500) and Cl at (0.3333, 0.6667, 0.0721).

The magnetization is 0.000 μB/atom. The raw formation energy is -2.462 eV/f.u. The calculation puts the density of states at the Fermi level at 4.962 states/eV/cell.

***

A geometry-optimized TlAgCl structure. Source: Alexandria via LeMat-Bulk, functional PBE.

The space group is P3m1 (No. 156) and the conventional cell measures 4.0254, 4.0254 and 5.6853 Å, with angles of 90.00, 90.00 and 120.00 degrees. The distinct sites, in fractional coordinates, are Tl at (0.0000, 0.0000, 0.0000), Ag at (0.6667, 0.3333, 0.3153) and Cl at (0.3333, 0.6667, 0.5666).

The magnetization is 0.000 μB/atom. The raw formation energy is -0.819 eV/f.u. The calculation puts the energy above the most stable polymorph in this dataset at 0 meV per atom. The calculation puts the density of states at the Fermi level at 1.059 states/eV/cell.

***

A geometry-optimized TlAg5Cl6 structure. Source: Alexandria via LeMat-Bulk, functional PBE.

The space group is C2/m (No. 12) and the conventional cell measures 7.1778, 12.1098 and 7.0518 Å, with angles of 90.00, 108.25 and 90.00 degrees. The distinct sites, in fractional coordinates, are Tl at (0.0000, 0.0000, 0.0000), Ag at (0.0000, 0.1624, 0.5000), Ag at (0.0000, 0.3265, 0.0000), Ag at (0.0000, 0.5000, 0.5000), Cl at (0.1979, 0.3206, 0.7509) and Cl at (0.2439, 0.0000, 0.7008).

The magnetization is 0.000 μB/atom. The raw formation energy is -6.144 eV/f.u. The calculation puts the density of states at the Fermi level at 0.000 states/eV/cell.

***

A geometry-optimized TmTlAg2Cl6 structure. Source: Alexandria via LeMat-Bulk, functional PBE.

The space group is R3 (No. 146, hexagonal axes) and the conventional cell measures 7.0903, 7.0903 and 19.4625 Å, with angles of 90.00, 90.00 and 120.00 degrees. The distinct sites, in fractional coordinates, are Tm at (0.0000, 0.0000, 0.0000), Tl at (0.0000, 0.0000, 0.5193), Ag at (0.0000, 0.0000, 0.3269), Ag at (0.0000, 0.0000, 0.8063), Cl at (0.0195, 0.3471, 0.7369) and Cl at (0.0210, 0.6062, 0.5815).

The magnetization is 0.000 μB/atom. The raw formation energy is -12.850 eV/f.u. The calculation puts the density of states at the Fermi level at 0.000 states/eV/cell.

***

A geometry-optimized TmTlAgCl5 structure. Source: Alexandria via LeMat-Bulk, functional PBE.

The space group is C2/c (No. 15) and the conventional cell measures 8.7180, 12.4435 and 10.0547 Å, with angles of 90.00, 111.62 and 90.00 degrees. The distinct sites, in fractional coordinates, are Tm at (0.0000, 0.0000, 0.0000), Tl at (0.0000, 0.3456, 0.2500), Ag at (0.0000, 0.3093, 0.7500), Cl at (0.0000, 0.0655, 0.2500), Cl at (0.1030, 0.1934, 0.5879) and Cl at (0.1927, 0.4463, 0.9351).

The magnetization is 0.000 μB/atom. The raw formation energy is -12.132 eV/f.u. The calculation puts the density of states at the Fermi level at 0.000 states/eV/cell.

***

A geometry-optimized UTlAg2Cl8 structure. Source: Alexandria via LeMat-Bulk, functional PBE.

The space group is P-1 (No. 2) and the conventional cell measures 6.4403, 7.3128 and 9.4137 Å, with angles of 109.37, 92.05 and 97.45 degrees. The distinct sites, in fractional coordinates, are U at (0.0000, 0.0000, 0.0000), Tl at (0.0000, 0.0000, 0.5000), Ag at (0.4738, 0.3525, 0.3195), Cl at (0.1340, 0.7869, 0.7561), Cl at (0.1664, 0.8214, 0.1503), Cl at (0.3331, 0.2527, 0.0448) and Cl at (0.4324, 0.2687, 0.5569).

The magnetization is 0.082 μB/atom. The raw formation energy is -13.578 eV/f.u.

***

A geometry-optimized UTlAgCl6 structure. Source: Alexandria via LeMat-Bulk, functional PBE.

The space group is P-31c (No. 163) and the conventional cell measures 6.9833, 6.9833 and 14.2909 Å, with angles of 90.00, 90.00 and 120.00 degrees. The distinct sites, in fractional coordinates, are U at (0.3333, 0.6667, 0.2500), Tl at (0.0000, 0.0000, 0.0000), Ag at (0.3333, 0.6667, 0.7500) and Cl at (0.0173, 0.3718, 0.1414).

The magnetization is 0.222 μB/atom. The raw formation energy is -11.767 eV/f.u. The calculation puts the density of states at the Fermi level at 8.972 states/eV/cell.